(1)
Compound: Li3Y5Se8
Source: Alexandria via LeMat-Bulk
Functional: PBE-GGA
Structure: optimized geometry

The structure in CIF format:
```
data_Li3Y5Se8
_chemical_formula_sum 'Li9 Y15 Se24'
_symmetry_space_group_name_H-M 'R -3 m'
_symmetry_Int_Tables_number 166
_symmetry_space_group_name_Hall '-R 3 2"'
_cell_length_a 8.1001
_cell_length_b 8.1001
_cell_length_c 19.7635
_cell_angle_alpha 90.00
_cell_angle_beta 90.00
_cell_angle_gamma 120.00
loop_
_atom_site_label
_atom_site_fract_x
_atom_site_fract_y
_atom_site_fract_z
Li1 0.0000 0.5000 0.0000
Y1 0.0000 0.0000 0.0000
Y2 0.0000 0.0000 0.5000
Y3 0.0000 0.5000 0.5000
Se1 0.0000 0.0000 0.2515
Se2 0.0047 0.5024 0.2524
```



(2)
# LiY3Se | Alexandria via LeMat-Bulk | PBE-GGA | optimized geometry
data_LiY3Se
_chemical_formula_sum 'Li1 Y3 Se1'
_symmetry_space_group_name_H-M 'P m -3 m'
_symmetry_Int_Tables_number 221
_symmetry_space_group_name_Hall '-P 4 2 3'
_cell_length_a 5.435
_cell_length_b 5.435
_cell_length_c 5.435
_cell_angle_alpha 90.00
_cell_angle_beta 90.00
_cell_angle_gamma 90.00
loop_
_atom_site_label
_atom_site_fract_x
_atom_site_fract_y
_atom_site_fract_z
Li1 0.000 0.000 0.000
Y1 0.000 0.500 0.500
Se1 0.500 0.500 0.500
# ΔE to the lowest computed polymorph in eV per atom: 0.000



(3)
Compound: LiY2Se2
Source: Alexandria via LeMat-Bulk
Functional: PBE-GGA
Structure: optimized geometry

The structure in CIF format:
```
data_LiY2Se2
_chemical_formula_sum 'Li2 Y4 Se4'
_symmetry_space_group_name_H-M 'P 4/m b m'
_symmetry_Int_Tables_number 127
_symmetry_space_group_name_Hall '-P 4 2ab'
_cell_length_a 7.626
_cell_length_b 7.626
_cell_length_c 3.853
_cell_angle_alpha 90.00
_cell_angle_beta 90.00
_cell_angle_gamma 90.00
loop_
_atom_site_label
_atom_site_fract_x
_atom_site_fract_y
_atom_site_fract_z
Li1 0.000 0.000 0.000
Y1 0.154 0.346 0.500
Se1 0.150 0.650 0.000
```



(4)
Compound: Li2YSe
Source: Alexandria via LeMat-Bulk
Functional: PBE-GGA
Structure: optimized geometry

The structure in CIF format:
```
data_Li2YSe
_chemical_formula_sum 'Li2 Y1 Se1'
_symmetry_space_group_name_H-M 'P 4 m m'
_symmetry_Int_Tables_number 99
_symmetry_space_group_name_Hall 'P 4 -2'
_cell_length_a 3.656
_cell_length_b 3.656
_cell_length_c 6.432
_cell_angle_alpha 90.00
_cell_angle_beta 90.00
_cell_angle_gamma 90.00
loop_
_atom_site_label
_atom_site_fract_x
_atom_site_fract_y
_atom_site_fract_z
Li1 0.000 0.000 0.000
Li2 0.500 0.500 0.171
Y1 0.500 0.500 0.654
Se1 0.000 0.000 0.428
```



(5)
Compound: LiY5Se8
Source: Alexandria via LeMat-Bulk
Functional: PBE-GGA
Structure: optimized geometry

The structure in CIF format:
```
data_LiY5Se8
_chemical_formula_sum 'Li4 Y20 Se32'
_symmetry_space_group_name_H-M 'F -4 3 m'
_symmetry_Int_Tables_number 216
_symmetry_space_group_name_Hall 'F -4 2 3'
_cell_length_a 11.840
_cell_length_b 11.840
_cell_length_c 11.840
_cell_angle_alpha 90.00
_cell_angle_beta 90.00
_cell_angle_gamma 90.00
loop_
_atom_site_label
_atom_site_fract_x
_atom_site_fract_y
_atom_site_fract_z
Li1 0.000 0.000 0.000
Y1 0.130 0.130 0.630
Y2 0.250 0.250 0.250
Se1 0.116 0.116 0.384
Se2 0.130 0.130 0.870
```



(6)
Compound: Li2YSe
Source: Alexandria via LeMat-Bulk
Functional: PBE-GGA
Structure: optimized geometry

The structure in CIF format:
```
data_Li2YSe
_chemical_formula_sum 'Li2 Y1 Se1'
_symmetry_space_group_name_H-M 'P 4/m m m'
_symmetry_Int_Tables_number 123
_symmetry_space_group_name_Hall '-P 4 2'
_cell_length_a 4.083
_cell_length_b 4.083
_cell_length_c 5.059
_cell_angle_alpha 90.00
_cell_angle_beta 90.00
_cell_angle_gamma 90.00
loop_
_atom_site_label
_atom_site_fract_x
_atom_site_fract_y
_atom_site_fract_z
Li1 0.000 0.500 0.000
Y1 0.000 0.000 0.500
Se1 0.500 0.500 0.500
```



(7)
Compound: LiYSe4
Source: Alexandria via LeMat-Bulk
Functional: PBE-GGA
Structure: optimized geometry

The structure in CIF format:
```
data_LiYSe4
_chemical_formula_sum 'Li4 Y4 Se16'
_symmetry_space_group_name_H-M 'F -4 3 m'
_symmetry_Int_Tables_number 216
_symmetry_space_group_name_Hall 'F -4 2 3'
_cell_length_a 8.248
_cell_length_b 8.248
_cell_length_c 8.248
_cell_angle_alpha 90.00
_cell_angle_beta 90.00
_cell_angle_gamma 90.00
loop_
_atom_site_label
_atom_site_fract_x
_atom_site_fract_y
_atom_site_fract_z
Li1 0.000 0.000 0.000
Y1 0.250 0.250 0.250
Se1 0.125 0.125 0.625
```



(8)
Compound: Li2YSe
Source: Alexandria via LeMat-Bulk
Functional: PBE-GGA
Structure: optimized geometry

The structure in CIF format:
```
data_Li2YSe
_chemical_formula_sum 'Li4 Y2 Se2'
_symmetry_space_group_name_H-M 'I -4 m 2'
_symmetry_Int_Tables_number 119
_symmetry_space_group_name_Hall 'I -4 -2'
_cell_length_a 4.200
_cell_length_b 4.200
_cell_length_c 9.261
_cell_angle_alpha 90.00
_cell_angle_beta 90.00
_cell_angle_gamma 90.00
loop_
_atom_site_label
_atom_site_fract_x
_atom_site_fract_y
_atom_site_fract_z
Li1 0.000 0.000 0.000
Li2 0.000 0.500 0.250
Y1 0.000 0.000 0.500
Se1 0.000 0.500 0.750
```



(9)
# LiY3Se4 | Alexandria via LeMat-Bulk | PBE-GGA | optimized geometry
data_LiY3Se4
_chemical_formula_sum 'Li2 Y6 Se8'
_symmetry_space_group_name_H-M 'P m n 21'
_symmetry_Int_Tables_number 31
_symmetry_space_group_name_Hall 'P 2ac -2'
_cell_length_a 9.301
_cell_length_b 8.367
_cell_length_c 5.715
_cell_angle_alpha 90.00
_cell_angle_beta 90.00
_cell_angle_gamma 90.00
loop_
_atom_site_label
_atom_site_fract_x
_atom_site_fract_y
_atom_site_fract_z
Li1 0.000 0.115 0.000
Y1 0.000 0.769 0.502
Y2 0.220 0.340 0.502
Se1 0.000 0.107 0.502
Se2 0.000 0.793 0.002
Se3 0.209 0.331 0.002
# ΔE to the lowest computed polymorph in eV per atom: 0.177



(10)
Compound: Li2YSe
Source: Alexandria via LeMat-Bulk
Functional: PBE-GGA
Structure: optimized geometry

The structure in CIF format:
```
data_Li2YSe
_chemical_formula_sum 'Li2 Y1 Se1'
_symmetry_space_group_name_H-M 'P 4/m m m'
_symmetry_Int_Tables_number 123
_symmetry_space_group_name_Hall '-P 4 2'
_cell_length_a 3.788
_cell_length_b 3.788
_cell_length_c 5.833
_cell_angle_alpha 90.00
_cell_angle_beta 90.00
_cell_angle_gamma 90.00
loop_
_atom_site_label
_atom_site_fract_x
_atom_site_fract_y
_atom_site_fract_z
Li1 0.000 0.000 0.203
Y1 0.500 0.500 0.500
Se1 0.500 0.500 0.000
```



(11)
Compound: Li2YSe
Source: Alexandria via LeMat-Bulk
Functional: PBE-GGA
Structure: optimized geometry

The structure in CIF format:
```
data_Li2YSe
_chemical_formula_sum 'Li6 Y3 Se3'
_symmetry_space_group_name_H-M 'R 3 m'
_symmetry_Int_Tables_number 160
_symmetry_space_group_name_Hall 'R 3 -2"'
_cell_length_a 4.0666
_cell_length_b 4.0666
_cell_length_c 16.3939
_cell_angle_alpha 90.00
_cell_angle_beta 90.00
_cell_angle_gamma 120.00
loop_
_atom_site_label
_atom_site_fract_x
_atom_site_fract_y
_atom_site_fract_z
Li1 0.0000 0.0000 0.0000
Li2 0.0000 0.0000 0.2883
Y1 0.0000 0.0000 0.4961
Se1 0.0000 0.0000 0.7063
```



(12)
Compound: Li2YSe
Source: Alexandria via LeMat-Bulk
Functional: PBE-GGA
Structure: optimized geometry

The structure in CIF format:
```
data_Li2YSe
_chemical_formula_sum 'Li4 Y2 Se2'
_symmetry_space_group_name_H-M 'A m m 2'
_symmetry_Int_Tables_number 38
_symmetry_space_group_name_Hall 'A 2 -2'
_cell_length_a 3.779
_cell_length_b 3.989
_cell_length_c 11.908
_cell_angle_alpha 90.00
_cell_angle_beta 90.00
_cell_angle_gamma 90.00
loop_
_atom_site_label
_atom_site_fract_x
_atom_site_fract_y
_atom_site_fract_z
Li1 0.000 0.000 0.000
Li2 0.500 0.000 0.404
Y1 0.500 0.000 0.675
Se1 0.000 0.000 0.247
```



Q: Which raw total energy values were calculated for the entries above? A: -0.215 -0.196 -0.209 -0.152 -0.229 -0.152 -0.141 -0.145 -0.220 -0.149 -0.153 -0.155, in hartree per atom.
Q: Which DOS at the Fermi energy values were calculated for the entries above? A: 0.243 1.360 0.381 0.575 0.000 0.574 0.875 0.767 0.326 0.596 0.752 0.496, in states/eV per atom.
Q: Which E_form (uncorrected) values were calculated for the entries above? A: -1736 -364 -1331 -698 -1793 -694 -125 -490 -1589 -618 -733 -778, in meV/atom.